# ZnCu2Cl GGA-PBEsol relaxed
data_ZnCu2Cl
_chemical_formula_sum 'Zn3 Cu6 Cl3'
_cell_length_a 2.977
_cell_length_b 2.977
_cell_length_c 22.108
_cell_angle_alpha 90.00
_cell_angle_beta 90.00
_cell_angle_gamma 120.00
_space_group_name_H-M_alt 'P 1'
_space_group_IT_number 1
_space_group_name_Hall 'P 1'
loop_
_atom_site_label
_atom_site_type_symbol
_atom_site_fract_x
_atom_site_fract_y
_atom_site_fract_z
_atom_site_occupancy
Zn1 Zn 0.000 0.000 0.000 1
Zn2 Zn 0.333 0.667 0.667 1
Zn3 Zn 0.667 0.333 0.333 1
Cu1 Cu 0.000 0.000 0.249 1
Cu2 Cu 0.000 0.000 0.751 1
Cu3 Cu 0.333 0.667 0.417 1
Cu4 Cu 0.333 0.667 0.916 1
Cu5 Cu 0.667 0.333 0.084 1
Cu6 Cu 0.667 0.333 0.583 1
Cl1 Cl 0.000 0.000 0.500 1
Cl2 Cl 0.333 0.667 0.167 1
Cl3 Cl 0.667 0.333 0.833 1
# distance to the lowest polymorph of the same formula = 96 meV per atom
# raw formation energy = 0.06 eV/atom
# volume = 169.6 Å³/cell

# ZnCu2Cl GGA-PBEsol relaxed
data_ZnCu2Cl
_chemical_formula_sum 'Zn2 Cu4 Cl2'
_cell_length_a 3.398
_cell_length_b 3.398
_cell_length_c 10.488
_cell_angle_alpha 90.00
_cell_angle_beta 90.00
_cell_angle_gamma 90.00
_space_group_name_H-M_alt 'P 1'
_space_group_IT_number 1
_space_group_name_Hall 'P 1'
loop_
_atom_site_label
_atom_site_type_symbol
_atom_site_fract_x
_atom_site_fract_y
_atom_site_fract_z
_atom_site_occupancy
Zn1 Zn 0.000 0.000 0.000 1
Zn2 Zn 0.500 0.500 0.500 1
Cu1 Cu 0.000 0.000 0.500 1
Cu2 Cu 0.000 0.500 0.750 1
Cu3 Cu 0.500 0.000 0.250 1
Cu4 Cu 0.500 0.500 0.000 1
Cl1 Cl 0.000 0.500 0.250 1
Cl2 Cl 0.500 0.000 0.750 1
# distance to the lowest polymorph of the same formula = 229 meV per atom
# raw formation energy = 0.19 eV/atom
# volume = 121.1 Å³/cell

# ZnCu2Cl GGA-PBEsol relaxed
data_ZnCu2Cl
_chemical_formula_sum 'Zn1 Cu2 Cl1'
_cell_length_a 3.064
_cell_length_b 3.278
_cell_length_c 6.090
_cell_angle_alpha 90.00
_cell_angle_beta 90.00
_cell_angle_gamma 90.00
_space_group_name_H-M_alt 'P 1'
_space_group_IT_number 1
_space_group_name_Hall 'P 1'
loop_
_atom_site_label
_atom_site_type_symbol
_atom_site_fract_x
_atom_site_fract_y
_atom_site_fract_z
_atom_site_occupancy
Zn1 Zn 0.000 0.000 0.000 1
Cu1 Cu 0.500 0.500 0.195 1
Cu2 Cu 0.500 0.500 0.805 1
Cl1 Cl 0.000 0.500 0.500 1
# distance to the lowest polymorph of the same formula = 0 meV per atom
# raw formation energy = -0.03 eV/atom
# volume = 61.2 Å³/cell

# ZnCu2Cl GGA-PBEsol relaxed
data_ZnCu2Cl
_chemical_formula_sum 'Zn2 Cu4 Cl2'
_cell_length_a 2.817
_cell_length_b 5.333
_cell_length_c 8.017
_cell_angle_alpha 90.00
_cell_angle_beta 90.00
_cell_angle_gamma 90.00
_space_group_name_H-M_alt 'P 1'
_space_group_IT_number 1
_space_group_name_Hall 'P 1'
loop_
_atom_site_label
_atom_site_type_symbol
_atom_site_fract_x
_atom_site_fract_y
_atom_site_fract_z
_atom_site_occupancy
Zn1 Zn 0.000 0.000 0.000 1
Zn2 Zn 0.500 0.500 0.500 1
Cu1 Cu 0.000 0.500 0.246 1
Cu2 Cu 0.000 0.500 0.754 1
Cu3 Cu 0.500 0.000 0.254 1
Cu4 Cu 0.500 0.000 0.746 1
Cl1 Cl 0.000 0.000 0.500 1
Cl2 Cl 0.500 0.500 0.000 1
# distance to the lowest polymorph of the same formula = 195 meV per atom
# raw formation energy = 0.16 eV/atom
# volume = 120.4 Å³/cell

# ZrCu2Cl GGA-PBEsol relaxed
data_ZrCu2Cl
_chemical_formula_sum 'Zr1 Cu2 Cl1'
_cell_length_a 3.014
_cell_length_b 4.163
_cell_length_c 4.901
_cell_angle_alpha 90.00
_cell_angle_beta 90.00
_cell_angle_gamma 90.00
_space_group_name_H-M_alt 'P 1'
_space_group_IT_number 1
_space_group_name_Hall 'P 1'
loop_
_atom_site_label
_atom_site_type_symbol
_atom_site_fract_x
_atom_site_fract_y
_atom_site_fract_z
_atom_site_occupancy
Zr1 Zr 0.000 0.000 0.000 1
Cu1 Cu 0.000 0.500 0.500 1
Cu2 Cu 0.500 0.000 0.500 1
Cl1 Cl 0.500 0.500 0.000 1
# distance to the lowest polymorph of the same formula = 54 meV per atom
# raw formation energy = -0.09 eV/atom
# volume = 61.5 Å³/cell

# ZrCu2Cl GGA-PBEsol relaxed
data_ZrCu2Cl
_chemical_formula_sum 'Zr2 Cu4 Cl2'
_cell_length_a 8.610
_cell_length_b 3.024
_cell_length_c 5.045
_cell_angle_alpha 90.00
_cell_angle_beta 105.91
_cell_angle_gamma 90.00
_space_group_name_H-M_alt 'P 1'
_space_group_IT_number 1
_space_group_name_Hall 'P 1'
loop_
_atom_site_label
_atom_site_type_symbol
_atom_site_fract_x
_atom_site_fract_y
_atom_site_fract_z
_atom_site_occupancy
Zr1 Zr 0.000 0.000 0.000 1
Zr2 Zr 0.500 0.500 0.000 1
Cu1 Cu 0.008 0.500 0.472 1
Cu2 Cu 0.271 0.500 0.358 1
Cu3 Cu 0.508 0.000 0.472 1
Cu4 Cu 0.771 0.000 0.358 1
Cl1 Cl 0.250 0.000 0.827 1
Cl2 Cl 0.750 0.500 0.827 1
# distance to the lowest polymorph of the same formula = 2 meV per atom
# raw formation energy = -0.14 eV/atom
# volume = 126.3 Å³/cell

# ZrCu2Cl GGA-PBEsol relaxed
data_ZrCu2Cl
_chemical_formula_sum 'Zr2 Cu4 Cl2'
_cell_length_a 2.975
_cell_length_b 4.232
_cell_length_c 9.696
_cell_angle_alpha 90.00
_cell_angle_beta 90.00
_cell_angle_gamma 90.00
_space_group_name_H-M_alt 'P 1'
_space_group_IT_number 1
_space_group_name_Hall 'P 1'
loop_
_atom_site_label
_atom_site_type_symbol
_atom_site_fract_x
_atom_site_fract_y
_atom_site_fract_z
_atom_site_occupancy
Zr1 Zr 0.000 0.000 0.000 1
Zr2 Zr 0.500 0.500 0.500 1
Cu1 Cu 0.000 0.500 0.250 1
Cu2 Cu 0.000 0.500 0.750 1
Cu3 Cu 0.500 0.000 0.250 1
Cu4 Cu 0.500 0.000 0.750 1
Cl1 Cl 0.000 0.000 0.500 1
Cl2 Cl 0.500 0.500 0.000 1
# distance to the lowest polymorph of the same formula = 0 meV per atom
# raw formation energy = -0.14 eV/atom
# volume = 122.1 Å³/cell

# ZrCu2Cl GGA-PBEsol relaxed
data_ZrCu2Cl
_chemical_formula_sum 'Zr2 Cu4 Cl2'
_cell_length_a 4.891
_cell_length_b 8.975
_cell_length_c 2.974
_cell_angle_alpha 90.00
_cell_angle_beta 90.16
_cell_angle_gamma 90.00
_space_group_name_H-M_alt 'P 1'
_space_group_IT_number 1
_space_group_name_Hall 'P 1'
loop_
_atom_site_label
_atom_site_type_symbol
_atom_site_fract_x
_atom_site_fract_y
_atom_site_fract_z
_atom_site_occupancy
Zr1 Zr 0.000 0.000 0.000 1
Zr2 Zr 0.500 0.500 0.000 1
Cu1 Cu 0.250 0.250 0.500 1
Cu2 Cu 0.250 0.750 0.500 1
Cu3 Cu 0.750 0.250 0.500 1
Cu4 Cu 0.750 0.750 0.500 1
Cl1 Cl 0.000 0.500 0.000 1
Cl2 Cl 0.500 0.000 0.000 1
# distance to the lowest polymorph of the same formula = 86 meV per atom
# raw formation energy = -0.06 eV/atom
# volume = 130.6 Å³/cell